# 1
## DySb2Ir8 (GGA-PBE)

Data for a geometry-optimized DySb2Ir8 structure.

Structure (extended XYZ):
```
11
Lattice="-3.351 -2.322 -4.932 -4.853 -3.879 -1.536 -1.047 8.993 3.659" Properties=species:S:1:pos:R:3 pbc="T T T"
Dy -4.102 -3.101 -3.234
Ir -2.184 -0.279 -1.093
Ir -7.182 -1.846 -4.021
Ir -1.928 2.164 0.140
Ir -4.860 0.236 -2.040
Ir -4.391 2.556 -0.769
Ir -7.323 0.628 -2.949
Ir -2.069 4.638 1.211
Ir -7.068 3.071 -1.716
Sb -7.731 -4.084 -5.289
Sb -1.520 6.876 2.480
```

# 2
3
Lattice="0.000 2.896 2.896 2.896 0.000 2.896 2.896 2.896 0.000" Properties=species:S:1:pos:R:3 comment="ReSiGe GGA-PBE optimized geometry" e_above_lowest_polymorph_kj_per_mol_fu=55 pbc="T T T"
Ge 1.448 1.448 1.448
Re 4.344 4.344 4.344
Si 0.000 0.000 0.000

# 3
6
Lattice="-1.597 2.680 4.328 1.597 -2.680 4.328 1.597 2.680 -4.328" Properties=species:S:1:pos:R:3 comment="PrB4Au GGA-PBE optimized geometry" e_above_lowest_polymorph_kj_per_mol_fu=0 pbc="T T T"
Au 0.000 0.000 0.000
B 0.000 1.687 2.055
B 1.597 -0.993 2.273
B 0.000 3.673 2.055
B 1.597 0.993 2.273
Pr 0.000 0.000 4.328

# 4
## Nb4SnB2Au (GGA-PBE)

Data for a geometry-optimized Nb4SnB2Au structure.

Structure (extended XYZ):
```
8
Lattice="3.252 0.000 0.000 -1.626 2.816 0.000 0.000 0.000 14.088" Properties=species:S:1:pos:R:3 pbc="T T T"
Au 0.000 0.000 0.000
B 0.000 1.877 3.455
B 0.000 1.877 10.633
Nb 1.626 0.939 2.218
Nb 0.000 0.000 4.720
Nb 0.000 0.000 9.368
Nb 1.626 0.939 11.870
Sn 1.626 0.939 7.044
```

# 5
8
Lattice="-5.016 5.016 1.861 5.016 -5.016 1.861 5.016 5.016 -1.861" Properties=species:S:1:pos:R:3 comment="Na2IrN GGA-PBE optimized geometry" e_above_lowest_polymorph_kj_per_mol_fu=13 pbc="T T T"
Ir 0.000 0.000 0.000
Ir 0.000 5.016 0.931
N 0.000 0.000 1.861
N 5.016 0.000 0.931
Na 2.508 -0.236 1.396
Na 0.236 2.508 2.326
Na 4.780 2.508 0.465
Na 2.508 5.252 -0.465

# 6
24
Lattice="3.878 0.000 0.000 0.000 10.264 0.000 0.000 0.000 14.598" Properties=species:S:1:pos:R:3 comment="RbLuCoS3 GGA-PBE optimized geometry" e_above_lowest_polymorph_kj_per_mol_fu=9 pbc="T T T"
Co 2.908 7.721 3.111
Co 2.908 2.589 4.188
Co 0.969 7.675 10.410
Co 0.969 2.543 11.487
Lu 0.969 5.160 3.593
Lu 0.969 0.028 3.706
Lu 2.908 10.236 10.892
Lu 2.908 5.104 11.005
Rb 2.908 2.470 0.166
Rb 2.908 7.602 7.133
Rb 0.969 2.662 7.465
Rb 0.969 7.794 14.432
S 2.908 5.834 1.879
S 2.908 9.660 1.962
S 0.969 2.578 2.880
S 0.969 7.710 4.418
S 2.908 4.528 5.337
S 2.908 0.702 5.420
S 0.969 9.561 9.178
S 0.969 5.736 9.261
S 2.908 2.553 10.179
S 2.908 7.685 11.717
S 0.969 0.604 12.636
S 0.969 4.429 12.719

# 7
## NdEr2Pd2PtPb3 (GGA-PBE)

Data for a geometry-optimized NdEr2Pd2PtPb3 structure.

Structure (extended XYZ):
```
9
Lattice="-1.674 3.343 1.351 -2.582 -3.838 6.300 7.003 3.469 0.092" Properties=species:S:1:pos:R:3 pbc="T T T"
Er -1.554 -2.314 3.801
Er 4.224 2.091 0.059
Nd 1.769 -0.148 2.557
Pb -1.556 -1.240 6.990
Pb 2.408 1.400 5.366
Pb 5.471 4.116 2.440
Pd -0.254 0.239 4.944
Pd 3.019 2.733 2.824
Pt 4.396 -0.368 6.355
```

# 8
8
Lattice="4.396 0.000 0.000 0.000 4.396 0.000 0.000 0.000 8.871" Properties=species:S:1:pos:R:3 comment="PrHoPO GGA-PBE optimized geometry" e_above_lowest_polymorph_kj_per_mol_fu=30 pbc="T T T"
Ho 0.000 0.000 4.435
Ho 2.198 2.198 4.435
O 0.000 0.000 0.000
O 2.198 2.198 0.000
P 2.198 0.000 2.796
P 0.000 2.198 6.075
Pr 0.000 2.198 1.014
Pr 2.198 0.000 7.856

# 9
4
Lattice="0.000 3.220 3.220 3.220 0.000 3.220 3.220 3.220 0.000" Properties=species:S:1:pos:R:3 comment="TaTlCuOs GGA-PBE optimized geometry" e_above_lowest_polymorph_kj_per_mol_fu=0 pbc="T T T"
Cu 4.830 4.830 4.830
Os 1.610 1.610 1.610
Ta 3.220 3.220 3.220
Tl 0.000 0.000 0.000

# 10
3
Lattice="0.000 3.547 3.547 3.547 0.000 3.547 3.547 3.547 0.000" Properties=species:S:1:pos:R:3 comment="TlCuBi GGA-PBE optimized geometry" e_above_lowest_polymorph_kj_per_mol_fu=0 pbc="T T T"
Bi 0.000 0.000 0.000
Cu 1.774 1.774 1.774
Tl 5.321 5.321 5.321

# 11
## Y2TmSn3Ir3 (GGA-PBE)

Data for a geometry-optimized Y2TmSn3Ir3 structure.

Structure (extended XYZ):
```
9
Lattice="3.856 0.000 0.000 0.000 6.519 3.783 0.000 -6.519 3.783" Properties=species:S:1:pos:R:3 pbc="T T T"
Ir 0.000 0.000 0.021
Ir 1.928 2.137 3.772
Ir 1.928 -2.137 3.772
Sn 1.928 1.716 0.998
Sn 1.928 -1.716 0.998
Sn 1.928 0.000 5.578
Tm 0.000 0.000 3.046
Y 0.000 2.626 6.040
Y 0.000 -2.626 6.040
```

# 12
3
Lattice="0.000 3.149 3.149 3.149 0.000 3.149 3.149 3.149 0.000" Properties=species:S:1:pos:R:3 comment="LiAlCd GGA-PBE optimized geometry" e_above_lowest_polymorph_kj_per_mol_fu=5 pbc="T T T"
Al 0.000 0.000 0.000
Cd 1.575 1.575 1.575
Li 4.724 4.724 4.724

# 13
16
Lattice="0.802 2.952 6.583 5.784 -2.668 3.480 -0.979 2.791 -6.629" Properties=species:S:1:pos:R:3 comment="Al2ZnCu4Ni GGA-PBE optimized geometry" e_above_lowest_polymorph_kj_per_mol_fu=0 pbc="T T T"
Al 3.305 0.142 5.049
Al 6.574 0.283 10.045
Al 1.570 2.943 2.510
Al 4.037 0.132 0.924
Cu 2.880 1.583 7.058
Cu 1.224 1.523 4.549
Cu 0.334 1.419 -2.056
Cu 5.264 1.644 5.497
Cu 1.990 1.502 0.453
Cu 3.626 1.585 2.975
Cu 2.737 1.481 -3.631
Cu 4.373 1.563 -1.109
Ni 4.940 0.213 7.547
Ni 2.403 0.061 -1.574
Zn 1.647 0.071 2.516
Zn -0.088 2.872 -0.023

# 14
2
Lattice="0.000 3.883 3.883 3.883 0.000 3.883 3.883 3.883 0.000" Properties=species:S:1:pos:R:3 comment="BaLu GGA-PBE optimized geometry" e_above_lowest_polymorph_kj_per_mol_fu=236 pbc="T T T"
Ba 0.000 0.000 0.000
Lu 1.942 1.942 1.942

# 15
## Ta4CoTe4 (GGA-PBE)

Data for a geometry-optimized Ta4CoTe4 structure.

Structure (extended XYZ):
```
36
Lattice="-2.216 -8.409 -6.393 17.136 -6.842 3.059 -1.652 -2.443 3.787" Properties=species:S:1:pos:R:3 pbc="T T T"
Co -0.413 -0.611 0.947
Co 7.047 -8.237 -0.720
Co -1.239 -1.833 2.840
Co 6.221 -9.458 1.173
Ta 0.560 -1.992 -1.041
Ta -0.131 -8.321 -5.426
Ta 5.813 -6.047 -1.366
Ta 6.056 -8.834 -3.059
Ta 8.863 -6.417 -0.275
Ta 9.106 -9.204 -1.967
Ta 15.050 -6.931 2.093
Ta 14.359 -13.259 -2.292
Ta -1.962 -8.158 -3.078
Ta 1.042 -2.567 1.840
Ta 4.479 -8.587 -0.545
Ta 6.462 -6.874 1.425
Ta 6.805 -10.821 -0.972
Ta 8.788 -9.108 0.998
Ta 12.225 -15.128 -1.387
Ta 15.230 -9.537 3.531
Te -0.329 -5.880 -3.938
Te 3.239 -2.313 -0.080
Te 3.734 -7.158 -2.990
Te 7.138 -4.215 0.394
Te 7.781 -11.037 -3.728
Te 11.185 -8.094 -0.344
Te 11.680 -12.938 -3.254
Te 15.248 -9.371 0.604
Te 0.150 -4.667 0.096
Te 0.558 -9.487 -2.836
Te 3.787 -6.129 0.739
Te 4.201 -10.931 -2.179
Te 9.067 -6.764 2.632
Te 9.480 -11.566 -0.286
Te 12.709 -8.208 3.289
Te 13.117 -13.028 0.357
```

# 16
## Na4GaCuPd2 (GGA-PBE)

Data for a geometry-optimized Na4GaCuPd2 structure.

Structure (extended XYZ):
```
8
Lattice="-0.125 2.510 3.972 -3.898 -2.274 1.314 3.708 -4.606 3.028" Properties=species:S:1:pos:R:3 pbc="T T T"
Cu 1.854 -2.303 1.514
Ga -2.011 0.118 2.643
Na 0.000 0.000 0.000
Na -0.974 -2.348 1.453
Na -0.158 -2.185 4.157
Na 2.670 -2.140 4.217
Pd 0.814 0.166 2.702
Pd 0.882 -4.654 2.969
```

# 17
10
Lattice="-3.783 -1.609 9.936 -8.181 -2.878 6.357 6.885 -0.516 -8.244" Properties=species:S:1:pos:R:3 comment="GdSi2Tc2 GGA-PBE optimized geometry" e_above_lowest_polymorph_kj_per_mol_fu=15 pbc="T T T"
Gd -1.186 -1.267 3.094
Gd -3.894 -3.736 4.956
Si -6.482 -3.253 10.307
Si -7.862 -3.771 12.186
Si 2.783 -1.232 -4.136
Si 1.403 -1.750 -2.257
Tc -4.732 -2.597 7.923
Tc -6.956 -3.240 6.167
Tc 1.876 -1.763 1.882
Tc -0.348 -2.406 0.126

# 18
4
Lattice="0.000 3.076 3.076 3.076 0.000 3.076 3.076 3.076 0.000" Properties=species:S:1:pos:R:3 comment="LiScGaNi GGA-PBE optimized geometry" e_above_lowest_polymorph_kj_per_mol_fu=52 pbc="T T T"
Ga 1.538 1.538 1.538
Li 4.613 4.613 4.613
Ni 3.076 3.076 3.076
Sc 0.000 0.000 0.000

# 19
## RbSmNiTe3 (GGA-PBE)

Data for a geometry-optimized RbSmNiTe3 structure.

Structure (extended XYZ):
```
24
Lattice="-7.306 -3.333 -8.479 -0.502 -3.841 1.942 -12.542 5.926 8.478" Properties=species:S:1:pos:R:3 pbc="T T T"
Ni -4.906 -2.413 1.210
Ni -9.374 -3.694 -2.479
Ni -10.976 2.447 4.420
Ni -15.444 1.166 0.731
Rb -6.027 -5.348 -4.884
Rb -8.408 -0.830 3.435
Rb -11.942 -0.417 -1.494
Rb -14.324 4.101 6.825
Sm -6.860 -1.144 -1.618
Sm -10.564 -2.786 -5.823
Sm -9.787 1.539 7.764
Sm -13.490 -0.103 3.559
Te -4.972 -3.573 -1.101
Te -2.424 -2.376 1.925
Te -7.995 -2.310 -4.218
Te -5.789 0.040 1.000
Te -9.250 -2.543 -0.170
Te -11.873 -3.705 -3.145
Te -8.477 2.458 5.086
Te -11.101 1.296 2.111
Te -14.561 -1.287 0.941
Te -12.355 1.063 6.159
Te -17.926 1.129 0.016
Te -15.378 2.326 3.042
```

# 20
## Li2MgScSn2Pt2 (GGA-PBE)

Data for a geometry-optimized Li2MgScSn2Pt2 structure.

Structure (extended XYZ):
```
8
Lattice="-1.580 -2.735 -3.333 0.052 -3.562 2.898 -6.125 1.363 1.785" Properties=species:S:1:pos:R:3 pbc="T T T"
Li -2.243 -1.044 -1.243
Li -4.646 -0.741 2.811
Mg 0.000 0.000 0.000
Pt -1.524 -1.436 1.901
Pt -5.365 -0.349 -0.333
Sc -3.826 -2.467 0.675
Sn -0.764 -3.148 -0.218
Sn -3.062 0.681 0.893
```

# 21
8
Lattice="-2.691 -2.298 0.390 2.570 0.166 2.459 -6.634 8.843 6.334" Properties=species:S:1:pos:R:3 comment="GdZrCS GGA-PBE optimized geometry" e_above_lowest_polymorph_kj_per_mol_fu=5 pbc="T T T"
C -1.788 2.383 1.707
C -4.846 6.459 4.626
Gd -0.189 0.684 2.729
Gd -4.813 6.848 7.144
S -0.938 -1.477 1.080
S -2.501 3.766 4.936
Zr -3.315 1.692 3.350
Zr -5.194 4.197 5.143

# 22
8
Lattice="-0.056 2.556 -3.211 2.688 -2.404 -1.960 -5.884 -4.041 -3.113" Properties=species:S:1:pos:R:3 comment="LuZrNO GGA-PBE optimized geometry" e_above_lowest_polymorph_kj_per_mol_fu=49 pbc="T T T"
Lu 0.022 -0.399 -1.629
Lu -3.274 -3.491 -6.655
N -0.401 -1.518 -5.135
N -2.851 -2.372 -3.149
O 0.630 1.316 -2.899
O 2.002 -1.164 -2.273
Zr -2.312 -0.705 -4.455
Zr -0.940 -3.185 -3.829

| no. | calculated total energy (eV/atom) |
| --- | --- |
| 1 | -7.66 |
| 2 | -6.93 |
| 3 | -5.72 |
| 4 | -8.01 |
| 5 | -5.04 |
| 6 | -5.45 |
| 7 | -5.34 |
| 8 | -6.85 |
| 9 | -6.88 |
| 10 | -2.93 |
| 11 | -7.06 |
| 12 | -2.09 |
| 13 | -3.84 |
| 14 | -1.63 |
| 15 | -7.84 |
| 16 | -2.85 |
| 17 | -7.84 |
| 18 | -4.55 |
| 19 | -4.33 |
| 20 | -4.76 |
| 21 | -7.88 |
| 22 | -8.52 |